Computed, not measured: a geometry-optimized Ba2TlIn12Ir3 structure at the GGA-PBE level of DFT.

a = 9.0396 Å, b = 9.0396 Å, c = 9.0396 Å
α = 67.94°, β = 67.94°, γ = 67.94°
Sites, in units of the cell vectors:
Ba1 0.1000 0.1000 0.1000
Ba2 0.9000 0.9000 0.9000
Tl1 0.5000 0.5000 0.5000
In1 0.1155 0.6345 0.6345
In2 0.2273 0.2273 0.5741
In3 0.2273 0.5741 0.2273
In4 0.3655 0.3655 0.8845
In5 0.3655 0.8845 0.3655
In6 0.4259 0.7727 0.7727
In7 0.5741 0.2273 0.2273
In8 0.6345 0.1155 0.6345
In9 0.6345 0.6345 0.1155
In10 0.7727 0.4259 0.7727
In11 0.7727 0.7727 0.4259
In12 0.8845 0.3655 0.3655
Ir1 0.0000 0.5000 0.5000
Ir2 0.5000 0.0000 0.5000
Ir3 0.5000 0.5000 0.0000

Calculated values
Magnetic moment, μB per formula unit: 0.0
Theoretical density, g/cm3: 6.6
Energy relative to the elements, eV/atom: -0.01